Here is crystalline MoSN2F at its relaxed geometry from the Alexandria database. Energies are from PBE+U.

## Properties
- symmetry = No. 123
- energy relative to the lowest polymorph listed for this composition (meV per atom) = 1342

```
data_MoSN2F
_chemical_formula_sum 'Mo1 S1 N2 F1'
_cell_length_a 3.986
_cell_length_b 3.986
_cell_length_c 3.947
_cell_angle_alpha 90.00
_cell_angle_beta 90.00
_cell_angle_gamma 90.00
_symmetry_space_group_name_H-M 'P 1'
_symmetry_Int_Tables_number 1
loop_
_symmetry_equiv_pos_as_xyz
'x,y,z'
loop_
_atom_site_label
_atom_site_fract_x
_atom_site_fract_y
_atom_site_fract_z
Mo1 0.500 0.500 0.500
N1 0.000 0.500 0.000
N2 0.500 0.000 0.000
F1 0.000 0.000 0.000
S1 0.000 0.000 0.500
```